# 1
A relaxed structure of La3ErTm4, computed with PBE.

Summary:
Formation energy: 3.12 kJ/mol of atoms
Symmetry: Pmn2_1 (31)

a = 11.4549 Å, b = 7.3242 Å, c = 6.3197 Å
α = 90.00°, β = 90.00°, γ = 90.00°
Sites, in units of the cell vectors:
La1 0.0000 0.1252 0.0000
La2 0.2469 0.6232 0.6647
La3 0.2531 0.3768 0.1647
La4 0.5000 0.8748 0.5000
La5 0.7469 0.3768 0.1647
La6 0.7531 0.6232 0.6647
Er1 0.0000 0.6317 0.9986
Er2 0.5000 0.3683 0.4986
Tm1 0.0000 0.3737 0.4972
Tm2 0.0000 0.8742 0.4942
Tm3 0.2487 0.1222 0.6614
Tm4 0.2513 0.8778 0.1614
Tm5 0.5000 0.1258 0.9942
Tm6 0.5000 0.6263 0.9972
Tm7 0.7487 0.8778 0.1614
Tm8 0.7513 0.1222 0.6614

=====

# 2
A relaxed structure of La2Er12Tm5, computed with PBE.

Summary:
Formation energy: 13.66 kJ/mol of atoms
Symmetry: C2/m (12)

a = 9.0974 Å, b = 9.0974 Å, c = 8.4231 Å
α = 90.75°, β = 90.75°, γ = 60.46°
Sites, in units of the cell vectors:
La1 0.1914 0.8086 0.0000
La2 0.8086 0.1914 0.0000
Er1 0.0574 0.0574 0.3252
Er2 0.0660 0.6828 0.3545
Er3 0.1592 0.5214 0.7531
Er4 0.3172 0.9340 0.6455
Er5 0.4027 0.4027 0.1169
Er6 0.4786 0.8408 0.2469
Er7 0.5214 0.1592 0.7531
Er8 0.5973 0.5973 0.8831
Er9 0.6828 0.0660 0.3545
Er10 0.8408 0.4786 0.2469
Er11 0.9340 0.3172 0.6455
Er12 0.9426 0.9426 0.6748
Tm1 0.1961 0.1961 0.0055
Tm2 0.2661 0.2661 0.4207
Tm3 0.5000 0.5000 0.5000
Tm4 0.7339 0.7339 0.5793
Tm5 0.8039 0.8039 0.9945

=====

# 3
A relaxed structure of La12Er7Tm, computed with PBE.

Summary:
Formation energy: 18.91 kJ/mol of atoms
Symmetry: R-3 (148)

a = 8.8418 Å, b = 8.8418 Å, c = 8.8418 Å
α = 89.58°, β = 89.58°, γ = 89.58°
Sites, in units of the cell vectors:
La1 0.0192 0.8928 0.3556
La2 0.1072 0.6444 0.9808
La3 0.2186 0.3542 0.7659
La4 0.2341 0.7814 0.6458
La5 0.3542 0.7659 0.2186
La6 0.3556 0.0192 0.8928
La7 0.6444 0.9808 0.1072
La8 0.6458 0.2341 0.7814
La9 0.7659 0.2186 0.3542
La10 0.7814 0.6458 0.2341
La11 0.8928 0.3556 0.0192
La12 0.9808 0.1072 0.6444
Er1 0.0000 0.0000 0.0000
Er2 0.1254 0.4411 0.3598
Er3 0.3598 0.1254 0.4411
Er4 0.4411 0.3598 0.1254
Er5 0.5589 0.6402 0.8746
Er6 0.6402 0.8746 0.5589
Er7 0.8746 0.5589 0.6402
Tm1 0.5000 0.5000 0.5000

=====

# 4
A relaxed structure of La2ErTm6, computed with PBE.

Summary:
Formation energy: 7.24 kJ/mol of atoms
Symmetry: C2/c (15)

a = 8.8740 Å, b = 8.8740 Å, c = 9.0446 Å
α = 115.94°, β = 115.94°, γ = 82.43°
Sites, in units of the cell vectors:
La1 0.1007 0.2832 0.4369
La2 0.2832 0.1007 0.9369
La3 0.7168 0.8993 0.0631
La4 0.8993 0.7168 0.5631
Er1 0.3303 0.6697 0.7500
Er2 0.6697 0.3303 0.2500
Tm1 0.0963 0.8316 0.0388
Tm2 0.1085 0.4361 0.8605
Tm3 0.1684 0.9037 0.4612
Tm4 0.3125 0.4965 0.3172
Tm5 0.4361 0.1085 0.3605
Tm6 0.4965 0.3125 0.8172
Tm7 0.5035 0.6875 0.1828
Tm8 0.5639 0.8915 0.6395
Tm9 0.6875 0.5035 0.6828
Tm10 0.8316 0.0963 0.5388
Tm11 0.8915 0.5639 0.1395
Tm12 0.9037 0.1684 0.9612

=====

# 5
A relaxed structure of La2ErTm3, computed with PBE.

Summary:
Formation energy: 24.61 kJ/mol of atoms
Symmetry: Cmc2_1 (36)

a = 8.4471 Å, b = 8.4471 Å, c = 5.8254 Å
α = 90.00°, β = 90.00°, γ = 104.79°
Sites, in units of the cell vectors:
La1 0.0397 0.6342 0.5000
La2 0.3658 0.9603 0.5000
La3 0.6342 0.0397 0.0000
La4 0.9603 0.3658 0.0000
Er1 0.3002 0.6998 0.9984
Er2 0.6998 0.3002 0.4984
Tm1 0.0991 0.2319 0.5004
Tm2 0.2319 0.0991 0.0004
Tm3 0.4399 0.5601 0.4969
Tm4 0.5601 0.4399 0.9969
Tm5 0.7681 0.9009 0.5004
Tm6 0.9009 0.7681 0.0004

=====

# 6
A relaxed structure of LaEr5Tm3, computed with PBE.

Summary:
Formation energy: 41.59 kJ/mol of atoms
Symmetry: C2/m (12)

a = 9.3337 Å, b = 9.3337 Å, c = 12.0706 Å
α = 126.16°, β = 126.16°, γ = 50.20°
Sites, in units of the cell vectors:
La1 0.2373 0.2373 0.1386
La2 0.7627 0.7627 0.8614
Er1 0.1222 0.1222 0.5683
Er2 0.1431 0.7281 0.2201
Er3 0.2719 0.8569 0.7799
Er4 0.2993 0.2993 0.9291
Er5 0.3227 0.6773 0.0000
Er6 0.6773 0.3227 0.0000
Er7 0.7007 0.7007 0.0709
Er8 0.7281 0.1431 0.2201
Er9 0.8569 0.2719 0.7799
Er10 0.8778 0.8778 0.4317
Tm1 0.0000 0.0000 0.0000
Tm2 0.1623 0.1623 0.3380
Tm3 0.3780 0.3780 0.6804
Tm4 0.5000 0.5000 0.5000
Tm5 0.6220 0.6220 0.3196
Tm6 0.8377 0.8377 0.6620

=====

# 7
A relaxed structure of La3Er3Tm2, computed with PBE.

Summary:
Formation energy: 3.68 kJ/mol of atoms
Symmetry: Immm (71)

a = 5.0004 Å, b = 5.1293 Å, c = 20.5205 Å
α = 90.00°, β = 90.00°, γ = 90.00°
Sites, in units of the cell vectors:
La1 0.0000 0.0000 0.0000
La2 0.0000 0.5000 0.1252
La3 0.0000 0.5000 0.8748
La4 0.5000 0.0000 0.3748
La5 0.5000 0.0000 0.6252
La6 0.5000 0.5000 0.5000
Er1 0.0000 0.0000 0.5000
Er2 0.0000 0.5000 0.3715
Er3 0.0000 0.5000 0.6285
Er4 0.5000 0.0000 0.1285
Er5 0.5000 0.0000 0.8715
Er6 0.5000 0.5000 0.0000
Tm1 0.0000 0.0000 0.2486
Tm2 0.0000 0.0000 0.7514
Tm3 0.5000 0.5000 0.2514
Tm4 0.5000 0.5000 0.7486

=====

# 8
A relaxed structure of LaEr7Tm2, computed with PBE.

Summary:
Formation energy: 2.79 kJ/mol of atoms
Symmetry: P-1 (2)

a = 6.1086 Å, b = 6.1147 Å, c = 9.3243 Å
α = 71.05°, β = 70.96°, γ = 80.44°
Sites, in units of the cell vectors:
La1 0.0000 0.0000 0.0000
Er1 0.0994 0.4973 0.3021
Er2 0.2010 0.0014 0.5978
Er3 0.3033 0.4996 0.8984
Er4 0.5000 0.5000 0.5000
Er5 0.6967 0.5004 0.1016
Er6 0.7990 0.9986 0.4022
Er7 0.9006 0.5027 0.6979
Tm1 0.3993 0.9991 0.2032
Tm2 0.6007 0.0009 0.7968

=====

# 9
A relaxed structure of LaEr2Tm7, computed with PBE.

Summary:
Formation energy: 62.20 kJ/mol of atoms
Symmetry: Cmmm (65)

a = 9.4377 Å, b = 9.4377 Å, c = 5.4475 Å
α = 90.00°, β = 90.00°, γ = 128.42°
Sites, in units of the cell vectors:
La1 0.0000 0.0000 0.0000
Er1 0.2680 0.7320 0.5000
Er2 0.7320 0.2680 0.5000
Tm1 0.0931 0.2938 0.5000
Tm2 0.2938 0.0931 0.5000
Tm3 0.3994 0.6006 0.0000
Tm4 0.5000 0.5000 0.5000
Tm5 0.6006 0.3994 0.0000
Tm6 0.7062 0.9069 0.5000
Tm7 0.9069 0.7062 0.5000

=====

# 10
A relaxed structure of La2ErTm, computed with PBE.

Summary:
Formation energy: 6.97 kJ/mol of atoms
Symmetry: Fm-3m (225)

a = 8.1661 Å, b = 8.1661 Å, c = 8.1661 Å
α = 90.00°, β = 90.00°, γ = 90.00°
Sites, in units of the cell vectors:
La1 0.2500 0.2500 0.2500
La2 0.2500 0.2500 0.7500
La3 0.2500 0.7500 0.2500
La4 0.2500 0.7500 0.7500
La5 0.7500 0.2500 0.2500
La6 0.7500 0.2500 0.7500
La7 0.7500 0.7500 0.2500
La8 0.7500 0.7500 0.7500
Er1 0.0000 0.0000 0.0000
Er2 0.0000 0.5000 0.5000
Er3 0.5000 0.0000 0.5000
Er4 0.5000 0.5000 0.0000
Tm1 0.0000 0.0000 0.5000
Tm2 0.0000 0.5000 0.0000
Tm3 0.5000 0.0000 0.0000
Tm4 0.5000 0.5000 0.5000

=====

# 11
A relaxed structure of La4ErTm2, computed with PBE.

Summary:
Formation energy: 6.95 kJ/mol of atoms
Symmetry: Fdd2 (43)

a = 12.7097 Å, b = 6.8394 Å, c = 13.6804 Å
α = 67.24°, β = 29.75°, γ = 83.01°
Sites, in units of the cell vectors:
La1 0.0010 0.5671 0.7872
La2 0.0235 0.9765 0.1194
La3 0.1306 0.3694 0.2265
La4 0.3694 0.1306 0.2735
La5 0.4628 0.6053 0.2490
La6 0.5671 0.0010 0.6447
La7 0.6053 0.4628 0.6829
La8 0.9765 0.0235 0.8806
Er1 0.5014 0.5014 0.4986
Er2 0.7514 0.7514 0.7486
Tm1 0.0648 0.5433 0.9998
Tm2 0.2502 0.8580 0.1852
Tm3 0.5433 0.0648 0.3920
Tm4 0.8580 0.2502 0.7067

=====

# 12
A relaxed structure of LaErTm4, computed with PBE.

Summary:
Formation energy: 7.81 kJ/mol of atoms
Symmetry: Pmmm (47)

a = 3.4637 Å, b = 5.6036 Å, c = 9.6773 Å
α = 90.00°, β = 90.00°, γ = 90.00°
Sites, in units of the cell vectors:
La1 0.0000 0.0000 0.0000
Er1 0.0000 0.5000 0.5000
Tm1 0.5000 0.0000 0.3374
Tm2 0.5000 0.0000 0.6626
Tm3 0.5000 0.5000 0.1718
Tm4 0.5000 0.5000 0.8282

=====

# 13
A relaxed structure of La16Er6Tm7, computed with PBE.

Summary:
Formation energy: 18.05 kJ/mol of atoms
Symmetry: Fm-3m (225)

a = 11.4200 Å, b = 11.4200 Å, c = 11.4200 Å
α = 60.00°, β = 60.00°, γ = 60.00°
Sites, in units of the cell vectors:
La1 0.0615 0.6462 0.6462
La2 0.1252 0.1252 0.1252
La3 0.1252 0.1252 0.6244
La4 0.1252 0.6244 0.1252
La5 0.3538 0.3538 0.3538
La6 0.3538 0.3538 0.9385
La7 0.3538 0.9385 0.3538
La8 0.3756 0.8748 0.8748
La9 0.6244 0.1252 0.1252
La10 0.6462 0.0615 0.6462
La11 0.6462 0.6462 0.0615
La12 0.6462 0.6462 0.6462
La13 0.8748 0.3756 0.8748
La14 0.8748 0.8748 0.3756
La15 0.8748 0.8748 0.8748
La16 0.9385 0.3538 0.3538
Er1 0.2574 0.2574 0.7426
Er2 0.2574 0.7426 0.2574
Er3 0.2574 0.7426 0.7426
Er4 0.7426 0.2574 0.2574
Er5 0.7426 0.2574 0.7426
Er6 0.7426 0.7426 0.2574
Tm1 0.0000 0.0000 0.0000
Tm2 0.0000 0.0000 0.5000
Tm3 0.0000 0.5000 0.0000
Tm4 0.0000 0.5000 0.5000
Tm5 0.5000 0.0000 0.0000
Tm6 0.5000 0.0000 0.5000
Tm7 0.5000 0.5000 0.0000

=====

# 14
A relaxed structure of La2Er2Tm, computed with PBE.

Summary:
Formation energy: 2.47 kJ/mol of atoms
Symmetry: C2/c (15)

a = 8.5423 Å, b = 8.5423 Å, c = 6.8053 Å
α = 102.77°, β = 102.77°, γ = 43.77°
Sites, in units of the cell vectors:
La1 0.1120 0.2852 0.1513
La2 0.2852 0.1120 0.6513
La3 0.7148 0.8880 0.3487
La4 0.8880 0.7148 0.8487
Er1 0.3220 0.4877 0.5497
Er2 0.4877 0.3220 0.0497
Er3 0.5123 0.6780 0.9503
Er4 0.6780 0.5123 0.4503
Tm1 0.0852 0.9148 0.2500
Tm2 0.9148 0.0852 0.7500

=====

# 15
A relaxed structure of La3Er8Tm2, computed with PBE.

Summary:
Formation energy: 24.66 kJ/mol of atoms
Symmetry: C2/m (12)

a = 10.7103 Å, b = 10.7103 Å, c = 5.6104 Å
α = 90.05°, β = 90.05°, γ = 42.40°
Sites, in units of the cell vectors:
La1 0.0000 0.0000 0.0000
La2 0.3000 0.7000 0.5000
La3 0.7000 0.3000 0.5000
Er1 0.1373 0.1373 0.4994
Er2 0.1812 0.5961 0.9996
Er3 0.3258 0.3258 0.4987
Er4 0.4039 0.8188 0.0004
Er5 0.5961 0.1812 0.9996
Er6 0.6742 0.6742 0.5013
Er7 0.8188 0.4039 0.0004
Er8 0.8627 0.8627 0.5006
Tm1 0.2404 0.2404 0.9985
Tm2 0.7596 0.7596 0.0015

=====

# 16
A relaxed structure of LaEr2Tm4, computed with PBE.

Summary:
Formation energy: 4.10 kJ/mol of atoms
Symmetry: P1 (1)

a = 7.0176 Å, b = 8.5282 Å, c = 8.7322 Å
α = 114.51°, β = 101.51°, γ = 101.84°
Sites, in units of the cell vectors:
La1 0.0000 0.0000 0.0000
La2 0.3008 0.6649 0.5452
Er1 0.2100 0.1279 0.7065
Er2 0.5252 0.8254 0.2707
Er3 0.7997 0.6652 0.5349
Er4 0.8804 0.4041 0.1323
Tm1 0.0257 0.8276 0.2793
Tm2 0.1073 0.5567 0.8751
Tm3 0.3880 0.4047 0.1371
Tm4 0.4145 0.2296 0.4151
Tm5 0.5018 0.0040 0.0022
Tm6 0.6086 0.5567 0.8727
Tm7 0.7048 0.1193 0.7015
Tm8 0.9086 0.2325 0.4154

=====

# 17
A relaxed structure of La4Er4Tm3, computed with PBE.

Summary:
Formation energy: 7.12 kJ/mol of atoms
Symmetry: P-1 (2)

a = 3.5069 Å, b = 5.6884 Å, c = 18.1851 Å
α = 81.02°, β = 84.48°, γ = 90.00°
Sites, in units of the cell vectors:
La1 0.0923 0.0916 0.3161
La2 0.2305 0.7303 0.0394
La3 0.7695 0.2697 0.9606
La4 0.9077 0.9084 0.6839
Er1 0.0453 0.5445 0.4104
Er2 0.1818 0.1814 0.1372
Er3 0.8182 0.8186 0.8628
Er4 0.9547 0.4555 0.5896
Tm1 0.3634 0.3643 0.7724
Tm2 0.5000 0.0000 0.5000
Tm3 0.6366 0.6357 0.2276

=====

# 18
A relaxed structure of La2Er7Tm4, computed with PBE.

Summary:
Formation energy: 20.17 kJ/mol of atoms
Symmetry: P-31m (162)

a = 6.0297 Å, b = 6.0297 Å, c = 13.3000 Å
α = 90.00°, β = 90.00°, γ = 120.00°
Sites, in units of the cell vectors:
La1 0.3333 0.6667 0.0000
La2 0.6667 0.3333 0.0000
Er1 0.0000 0.0000 0.0000
Er2 0.0000 0.3509 0.2174
Er3 0.0000 0.6491 0.7826
Er4 0.3509 0.0000 0.2174
Er5 0.3509 0.3509 0.7826
Er6 0.6491 0.0000 0.7826
Er7 0.6491 0.6491 0.2174
Tm1 0.0000 0.0000 0.3957
Tm2 0.0000 0.0000 0.6043
Tm3 0.3333 0.6667 0.5000
Tm4 0.6667 0.3333 0.5000

=====

# 19
A relaxed structure of La7Er3Tm, computed with PBE.

Summary:
Formation energy: 10.59 kJ/mol of atoms
Symmetry: P1 (1)

a = 7.0857 Å, b = 10.2509 Å, c = 11.3625 Å
α = 89.95°, β = 89.99°, γ = 70.71°
Sites, in units of the cell vectors:
La1 0.0000 0.0000 0.0000
La2 0.9998 0.0004 0.4136
La3 0.0000 0.8658 0.7066
La4 0.2194 0.5009 0.7061
La5 0.2211 0.5919 0.2065
La6 0.3100 0.3536 0.4335
La7 0.3097 0.3542 0.9795
La8 0.5010 0.9999 0.4991
La9 0.5008 0.0004 0.9144
La10 0.5039 0.8656 0.2066
La11 0.7202 0.5017 0.2061
La12 0.7208 0.5903 0.7065
La13 0.8104 0.3528 0.9333
La14 0.8102 0.3535 0.4796
Er1 0.1353 0.2063 0.2065
Er2 0.1429 0.1788 0.7065
Er3 0.3814 0.6846 0.4771
Er4 0.3812 0.6848 0.9355
Er5 0.6349 0.2061 0.7063
Er6 0.6419 0.1806 0.2066
Tm1 0.8824 0.6833 0.4366
Tm2 0.8824 0.6833 0.9761